The following is a DFT calculation (GGA-PBE) of a relaxed CeYCoRh crystal.

a b c (Å): 4.837 4.837 4.837
angles (deg): 60.00 60.00 60.00
Atoms (fractional coordinates):
Y1 0.750 0.750 0.750
Co1 0.500 0.500 0.500
Rh1 0.000 0.000 0.000
Ce1 0.250 0.250 0.250

Calculated values
**Space-group type**: F-43m, No. 216
**Final energy**: -7.117 eV per atom